Record 1
KWSe3, relaxed, DFT GGA-PBE; E above lowest polymorph = 0.000 eV per atom; symmetry = P2_1/c; magnetic moment = 0.000 μB per formula unit; formation energy from raw total energies = -0.470 eV/atom
1.0
-0.6398 -0.7088 -6.5189
-8.8482 -1.3567 1.0159
-0.1940 9.3025 -0.9925
K Se W
4 12 4
direct
0.1776 0.3732 0.8042 K
0.8224 0.6268 0.1958 K
0.3224 0.3732 0.3042 K
0.6776 0.6268 0.6958 K
0.9162 0.0418 0.6557 Se
0.8140 0.3481 0.4202 Se
0.4162 0.9582 0.8443 Se
0.4252 0.1618 0.5529 Se
0.1860 0.6519 0.5798 Se
0.0748 0.1618 0.0529 Se
0.5838 0.0418 0.1557 Se
0.9252 0.8382 0.9471 Se
0.3140 0.6519 0.0798 Se
0.5748 0.8382 0.4471 Se
0.6860 0.3481 0.9202 Se
0.0838 0.9582 0.3443 Se
0.2383 0.9130 0.0940 W
0.7383 0.0870 0.4060 W
0.7617 0.0870 0.9060 W
0.2617 0.9130 0.5940 W

Record 2
NaPrAg2F6, relaxed, DFT GGA-PBE; symmetry = P1; magnetic moment = 0.000 μB per formula unit; formation energy from raw total energies = -2.513 eV/atom
1.0
6.1468 -0.0012 -0.0004
-3.0742 5.3112 -0.0080
-3.0710 -1.7736 5.2298
Na Ag F Pr
1 2 6 1
direct
0.9994 0.9992 0.9845 Na
0.5593 0.2795 0.8251 Ag
0.5522 0.7749 0.3132 Ag
0.0917 0.2184 0.6990 F
0.8349 0.6189 0.6946 F
0.0864 0.3742 0.2009 F
0.4948 0.8732 0.6975 F
0.5032 0.1266 0.1983 F
0.8420 0.7124 0.2014 F
0.0017 0.5003 0.4880 Pr

Record 3
Ti3Mo2Pt, relaxed, DFT GGA-PBE; E above lowest polymorph = 0.000 eV per atom; energy of formation = -459 meV per atom; symmetry = P2/m; magnetic moment = 0.000 μB per formula unit
1.0
-0.3130 3.5414 2.6942
-6.7814 0.9138 1.6741
0.7335 -3.7552 5.0214
Mo Ti Pt
4 6 2
direct
0.0000 0.0000 0.5000 Mo
0.3318 0.3369 0.5000 Mo
0.6682 0.6631 0.5000 Mo
0.0000 0.0000 0.0000 Mo
0.5000 0.0000 0.2533 Ti
0.1650 0.6695 0.2560 Ti
0.8350 0.3305 0.7440 Ti
0.1650 0.6695 0.7440 Ti
0.5000 0.0000 0.7467 Ti
0.8350 0.3305 0.2560 Ti
0.6650 0.6687 0.0000 Pt
0.3350 0.3313 0.0000 Pt

Record 4
In3Cu13, relaxed, DFT GGA-PBE; energy of formation = 46 meV per atom; symmetry = Amm2; magnetic moment = 0.000 μB per formula unit
1.0
-1.2905 4.3177 2.9316
2.2589 -2.7348 4.0398
6.8340 3.1769 -1.6707
Cu In
13 3
direct
0.2644 0.7356 0.5000 Cu
0.4920 0.5080 0.2521 Cu
0.0081 0.4956 0.2622 Cu
0.4920 0.5080 0.7479 Cu
0.2793 0.2682 0.5000 Cu
0.7318 0.7207 0.5000 Cu
0.7272 0.7606 0.0000 Cu
0.5044 0.9919 0.2622 Cu
0.0081 0.4956 0.7378 Cu
0.2526 0.7474 0.0000 Cu
0.2394 0.2728 0.0000 Cu
0.7463 0.2537 0.5000 Cu
0.5044 0.9919 0.7378 Cu
0.0111 0.9889 0.2626 In
0.0111 0.9889 0.7374 In
0.7277 0.2723 0.0000 In

Record 5
NbGaSe2N, relaxed, DFT GGA-PBE; E above lowest polymorph = 0.743 eV per atom; symmetry = P4/mmm; magnetic moment = 0.895 μB per formula unit; formation energy from raw total energies = 0.665 eV/atom
1.0
-1.2301 3.6343 3.3067
-1.6271 -3.5177 3.2609
3.3271 -0.1940 1.4509
Ga Se Nb N
1 2 1 1
direct
0.0000 0.0000 0.0000 Ga
0.5000 0.0000 0.0000 Se
0.0000 0.5000 0.0000 Se
0.5000 0.5000 0.5000 Nb
0.0000 0.0000 0.5000 N

Record 6
KGeI, relaxed, DFT GGA-PBE; symmetry = P-1; magnetic moment = 0.000 μB per formula unit; formation energy from raw total energies = -0.564 eV/atom
1.0
6.9325 -0.6168 0.5126
2.8680 3.0953 0.7169
1.5374 1.7754 11.2532
I Ge K
2 2 2
direct
0.2312 0.6653 0.8400 I
0.7688 0.3347 0.1600 I
0.4323 0.7752 0.5436 Ge
0.5677 0.2248 0.4564 Ge
0.2672 0.3197 0.1766 K
0.7328 0.6803 0.8234 K